## SrAu6 (PBE)

Data for an optimized crystal structure of SrAu6.

Cell: 5.695 9.180 11.410 Å, 90.00 90.00 90.00°
Element x y z (fractional)
Sr  0.750  0.239  0.936
Sr  0.250  0.761  0.064
Sr  0.750  0.739  0.564
Sr  0.250  0.261  0.436
Au  0.750  0.609  0.020
Au  0.250  0.391  0.980
Au  0.750  0.109  0.480
Au  0.250  0.891  0.520
Au  0.008  0.441  0.193
Au  0.508  0.559  0.807
Au  0.492  0.941  0.307
Au  0.992  0.059  0.693
Au  0.992  0.559  0.807
Au  0.492  0.441  0.193
Au  0.508  0.059  0.693
Au  0.008  0.941  0.307
Au  0.250  0.152  0.146
Au  0.750  0.848  0.854
Au  0.250  0.652  0.354
Au  0.750  0.348  0.646
Au  0.250  0.814  0.766
Au  0.750  0.186  0.234
Au  0.250  0.314  0.734
Au  0.750  0.686  0.266
Au  0.250  0.567  0.587
Au  0.750  0.433  0.413
Au  0.250  0.067  0.913
Au  0.750  0.933  0.087

Values from the calculation:
**Total magnetic moment**: 0.00 μB per formula unit
**Excess energy over the best structure of this formula in the dataset**: 0.000 eV per atom
**Space-group type**: Pnma
**Calculated formation energy**: -0.36 eV/atom